Entry 1:
Material: InPd2Se
Method: DFT, PBE
State: optimized geometry

Cell lengths 4.5207, 4.5207, 8.8153 Å; angles 75.14, 75.14, 90.00 degrees
Positions (direct):
1 Pd 0.3750 0.4272 0.7500
2 Pd 0.5728 0.1250 0.2500
3 In 0.7500 0.2500 0.5000
4 Se 0.2500 0.7500 0.5000
5 Pd 0.8750 0.8228 0.7500
6 In 0.0000 0.0000 0.0000
7 Se 0.5000 0.5000 0.0000
8 Pd 0.1772 0.6250 0.2500

Calculated values
calculated density: 8.04 Mg/m³
crystal system: tetragonal
E: -35.0 eV for the cell shown

Entry 2:
Material: Sm2CdSi3Pt12
Method: DFT, PBE
State: optimized geometry

Cell lengths 7.6137, 7.6137, 7.6137 Å; angles 66.48, 66.48, 66.48 degrees
Positions (direct):
1 Sm 0.6048 0.6048 0.6048
2 Pt 0.6474 0.6474 0.1014
3 Pt 0.6474 0.1014 0.6474
4 Pt 0.1410 0.1410 0.6115
5 Pt 0.3526 0.8986 0.3526
6 Si 0.0000 0.5000 0.0000
7 Pt 0.6115 0.1410 0.1410
8 Pt 0.3526 0.3526 0.8986
9 Sm 0.3952 0.3952 0.3952
10 Pt 0.8986 0.3526 0.3526
11 Pt 0.8590 0.8590 0.3885
12 Si 0.5000 0.0000 0.0000
13 Pt 0.3885 0.8590 0.8590
14 Cd 0.0000 0.0000 0.0000
15 Pt 0.1410 0.6115 0.1410
16 Pt 0.8590 0.3885 0.8590
17 Si 0.0000 0.0000 0.5000
18 Pt 0.1014 0.6474 0.6474

Calculated values
calculated density: 13.25 Mg/m³
crystal system: trigonal
E: -107.3 eV for the cell shown

Entry 3:
Material: Cs3Au2I8
Method: DFT, PBE
State: optimized geometry

Cell lengths 7.8827, 7.8827, 12.4542 Å; angles 71.55, 71.55, 60.00 degrees
Positions (direct):
1 I 0.7901 0.2598 0.6903
2 Cs 0.7910 0.7910 0.6269
3 Cs 0.0000 0.0000 0.0000
4 I 0.2099 0.7402 0.3097
5 I 0.2598 0.7901 0.6903
6 Cs 0.2090 0.2090 0.3731
7 I 0.3205 0.3205 0.0386
8 I 0.6795 0.6795 0.9614
9 Au 0.6027 0.6027 0.1919
10 Au 0.3973 0.3973 0.8081
11 I 0.7402 0.7402 0.3097
12 I 0.7402 0.2099 0.3097
13 I 0.2598 0.2598 0.6903

Calculated values
calculated density: 4.81 Mg/m³
crystal system: trigonal
E: -30.2 eV for the cell shown

Entry 4:
Material: SrMoC
Method: DFT, PBE
State: optimized geometry

Cell lengths 3.6235, 3.6235, 9.6060 Å; angles 90.00, 90.00, 90.00 degrees
Positions (direct):
1 Sr 0.0000 0.5000 0.7958
2 C 0.0000 0.5000 0.3555
3 Mo 0.5000 0.5000 0.5000
4 Mo 0.0000 0.0000 0.5000
5 Sr 0.5000 0.0000 0.2042
6 C 0.5000 0.0000 0.6445

Calculated values
calculated density: 5.15 Mg/m³
crystal system: tetragonal
E: -42.1 eV for the cell shown
calculated formation energy: 0.2271 eV/atom

Entry 5:
Material: ZrTl2PIr
Method: DFT, PBE
State: optimized geometry

Cell lengths 5.7261, 4.8077, 5.7261 Å; angles 90.00, 90.00, 90.00 degrees
Site moments in Bohr magnetons follow the coordinates.
Positions (direct):
1 Tl 0.5000 0.0000 0.0000  -0.01
2 Zr 0.0000 0.0000 0.0000  -0.14
3 Ir 0.0000 0.5000 0.0000  0.02
4 Tl 0.0000 0.0000 0.5000  -0.02
5 P 0.5000 0.5000 0.5000  0.34

Calculated values
calculated density: 7.62 Mg/m³
crystal system: tetragonal
E: -21.5 eV for the cell shown
calculated formation energy: 1.2150 eV/atom

Entry 6:
Material: KIn2Pd2
Method: DFT, PBE
State: optimized geometry

Cell lengths 8.4152, 8.4152, 3.0110 Å; angles 90.00, 90.00, 90.00 degrees
Positions (direct):
1 K 0.0000 0.0000 0.0000
2 In 0.3662 0.1338 0.5000
3 Pd 0.1608 0.3392 0.0000
4 Pd 0.6608 0.1608 0.0000
5 In 0.8662 0.3662 0.5000
6 In 0.6338 0.8662 0.5000
7 K 0.5000 0.5000 0.0000
8 Pd 0.3392 0.8392 0.0000
9 In 0.1338 0.6338 0.5000
10 Pd 0.8392 0.6608 0.0000

Calculated values
calculated density: 7.50 Mg/m³
crystal system: tetragonal
E: -37.4 eV for the cell shown
E above lowest polymorph: 0.000 eV per atom
calculated formation energy: -0.3487 eV/atom

Entry 7:
Material: LaCuS3
Method: DFT, PBE
State: optimized geometry

Cell lengths 4.5848, 4.5848, 4.5848 Å; angles 90.00, 90.00, 90.00 degrees
Positions (direct):
1 S 0.0000 0.5000 0.0000
2 S 0.0000 0.0000 0.5000
3 Cu 0.0000 0.0000 0.0000
4 S 0.5000 0.0000 0.0000
5 La 0.5000 0.5000 0.5000

Calculated values
calculated density: 5.15 Mg/m³
crystal system: cubic
E: -26.0 eV for the cell shown
E above lowest polymorph: 0.000 eV per atom

Entry 8:
Material: Cs6RuF12
Method: DFT, PBE
State: optimized geometry

Cell lengths 8.4032, 8.4032, 8.4032 Å; angles 99.76, 99.76, 99.76 degrees
Site moments in Bohr magnetons follow the coordinates.
Positions (direct):
1 F 0.2208 0.9806 0.0754  0.13
2 F 0.6051 0.4148 0.1709  0.14
3 Cs 0.4118 0.8523 0.6688  0.02
4 Cs 0.3312 0.5882 0.1477  0.02
5 F 0.8291 0.3949 0.5852  0.14
6 Cs 0.1477 0.3312 0.5882  0.02
7 F 0.3949 0.5852 0.8291  0.14
8 F 0.9246 0.7792 0.0194  0.13
9 Ru 0.0000 0.0000 0.0000  2.12
10 Cs 0.5882 0.1477 0.3312  0.02
11 F 0.9806 0.0754 0.2208  0.13
12 F 0.1709 0.6051 0.4148  0.14
13 Cs 0.6688 0.4118 0.8523  0.02
14 F 0.5852 0.8291 0.3949  0.14
15 F 0.0754 0.2208 0.9806  0.13
16 F 0.4148 0.1709 0.6051  0.14
17 Cs 0.8523 0.6688 0.4118  0.02
18 F 0.0194 0.9246 0.7792  0.13
19 F 0.7792 0.0194 0.9246  0.13

Calculated values
calculated density: 3.32 Mg/m³
crystal system: trigonal
E: -80.9 eV for the cell shown

Entry 9:
Material: LaIn2Ru
Method: DFT, PBE
State: optimized geometry

Cell lengths 4.2659, 4.2659, 5.1191 Å; angles 90.00, 90.00, 89.99 degrees
Positions (direct):
1 In 0.5000 0.5000 0.0000
2 La 0.5000 0.0000 0.5000
3 Ru 0.0000 0.5000 0.5000
4 In 0.0000 0.0000 0.0000

Calculated values
calculated density: 8.37 Mg/m³
crystal system: tetragonal
E: -20.0 eV for the cell shown
calculated formation energy: -0.0740 eV/atom

Entry 10:
Material: Ba2ReMoSe
Method: DFT, PBE
State: optimized geometry

Cell lengths 6.0506, 4.7468, 6.0506 Å; angles 90.00, 90.00, 90.00 degrees
Site moments in Bohr magnetons follow the coordinates.
Positions (direct):
1 Ba 0.0000 0.0000 0.5000  -0.03
2 Mo 0.0000 0.0000 0.0000  0.29
3 Re 0.5000 0.5000 0.5000  3.10
4 Se 0.0000 0.5000 0.0000  0.01
5 Ba 0.5000 0.0000 0.0000  -0.01

Calculated values
calculated density: 6.07 Mg/m³
crystal system: tetragonal
E: -24.7 eV for the cell shown

Entry 11:
Material: Pm5Os
Method: DFT, PBE
State: optimized geometry

Cell lengths 5.5816, 3.8588, 8.7648 Å; angles 102.72, 90.00, 90.00 degrees
Positions (direct):
1 Pm 0.5000 0.8335 0.6670
2 Pm 0.5000 0.5000 0.0000
3 Pm 0.5000 0.1665 0.3330
4 Os 0.0000 0.0000 0.0000
5 Pm 0.0000 0.6241 0.2481
6 Pm 0.0000 0.3759 0.7519

Calculated values
calculated density: 8.25 Mg/m³
crystal system: orthorhombic
E: -34.2 eV for the cell shown
calculated formation energy: 0.1314 eV/atom

Entry 12:
Material: HfBe8Rh3
Method: DFT, PBE
State: optimized geometry

Cell lengths 4.4384, 4.4384, 7.2896 Å; angles 90.00, 90.00, 120.00 degrees
Positions (direct):
1 Rh 0.6667 0.3333 0.4451
2 Be 0.9948 0.4974 0.7670
3 Hf 0.0000 0.0000 0.5607
4 Rh 0.6667 0.3333 0.0652
5 Be 0.6680 0.8340 0.2371
6 Be 0.1660 0.8340 0.2371
7 Be 0.1660 0.3320 0.2371
8 Be 0.3333 0.6667 0.0024
9 Be 0.5026 0.4974 0.7670
10 Be 0.5026 0.0052 0.7670
11 Rh 0.0000 0.0000 0.9220
12 Be 0.3333 0.6667 0.4924

Calculated values
calculated density: 7.47 Mg/m³
crystal system: trigonal
E: -67.7 eV for the cell shown
calculated formation energy: -0.4888 eV/atom